Here is a relaxed Er2CdPd2 crystal from OQMD via LeMat-Bulk. Energies are from PBE.

Cell: 7.697 7.697 3.663 Å, 90.00 90.00 90.00°
Space group P4/mbm (No. 127)
Inequivalent atoms, fractional coordinates:
Er 0.170 0.330 0.000 [4 per cell]
Cd 0.000 0.000 0.500 [2 per cell]
Pd 0.130 0.630 0.500 [4 per cell]

Values from the calculation:
- Total energy: -0.360 Ry/atom
- Calculated formation energy: -0.828 eV per atom

=====

Here is a relaxed PrGaCo2 crystal from OQMD via LeMat-Bulk. Energies are from PBE.

Cell: 5.259 3.741 6.922 Å, 90.00 90.00 90.00°
Space group Pmma (No. 51)
Inequivalent atoms, fractional coordinates:
Pr 0.250 0.000 0.172 [2 per cell]
Ga 0.250 0.000 0.617 [2 per cell]
Co 0.000 0.500 0.500 [2 per cell]
Co 0.250 0.500 0.834 [2 per cell]

Values from the calculation:
- Total energy: -0.416 Ry/atom

=====

Here is a relaxed Y2Cd3Ni2 crystal from OQMD via LeMat-Bulk. Energies are from PBE.

Cell: 3.929 20.533 3.639 Å, 90.00 90.00 90.00°
Space group Cmmm (No. 65)
Inequivalent atoms, fractional coordinates:
Y 0.000 0.172 0.000 [4 per cell]
Cd 0.000 0.000 0.000 [2 per cell]
Cd 0.000 0.422 0.500 [4 per cell]
Ni 0.000 0.286 0.500 [4 per cell]

Values from the calculation:
- Total energy: -0.308 Ry/atom
- Calculated formation energy: -0.369 eV per atom

=====

Here is a relaxed DyHoSi2Pd crystal from OQMD via LeMat-Bulk. Energies are from PBE.

Cell: 10.454 4.252 10.098 Å, 90.00 117.96 90.00°
Space group C2/m (No. 12)
Inequivalent atoms, fractional coordinates:
Dy 0.186 0.000 0.106 [4 per cell]
Ho 0.002 0.000 0.324 [4 per cell]
Si 0.019 0.500 0.886 [4 per cell]
Si 0.133 0.500 0.565 [4 per cell]
Pd 0.225 0.500 0.360 [4 per cell]

Values from the calculation:
- Total energy: -0.439 Ry/atom